Entry from Alexandria via LeMat-Bulk: a relaxed structure of Cr4CoF12 (PBE+U).

VASP energy (eV per atom): -5.893
Space group: No. 71

a b c (Å): 6.7208 6.7208 6.7208
angles (deg): 112.55 109.13 106.79
Fractional positions:
Cr 0.0000 0.0000 0.5000
Cr 0.0000 0.5000 0.0000
Cr 0.5000 0.0000 0.0000
Cr 0.5000 0.5000 0.5000
Co 0.0000 0.0000 0.0000
F 0.0085 0.6992 0.3093
F 0.2152 0.1776 0.3928
F 0.2152 0.8224 0.0376
F 0.2481 0.0705 0.8224
F 0.2481 0.4257 0.1776
F 0.3898 0.6992 0.6907
F 0.6102 0.3008 0.3093
F 0.7519 0.5743 0.8224
F 0.7519 0.9295 0.1776
F 0.7848 0.1776 0.9624
F 0.7848 0.8224 0.6072
F 0.9915 0.3008 0.6907